# 1
! TaTe4Ir | Alexandria via LeMat-Bulk | PBEsol | optimized geometry; values from VASP
&SYSTEM
  ibrav = 0, nat = 6, ntyp = 3
/
ATOMIC_SPECIES
Te 127.60 Te.upf
Ir 192.22 Ir.upf
Ta 180.95 Ta.upf
CELL_PARAMETERS angstrom
-1.807 0.323 -5.571
-4.504 -3.289 -1.817
-5.143 2.516 -1.274
ATOMIC_POSITIONS crystal
Te 0.874 0.375 0.375
Te 0.375 0.874 0.375
Te 0.375 0.375 0.874
Te 0.375 0.375 0.375
Ir 0.750 0.750 0.750
Ta 0.000 0.000 0.000
! - crystal system = cubic
! - excess energy over the best structure of this formula in the dataset (eV/f.u.) = 11.493
! - ΔE_f (raw) (meV/atom) = 1558
! - total magnetization (μB/f.u.) = 0.13


# 2
! MgAg2 | Alexandria via LeMat-Bulk | PBEsol | optimized geometry; values from VASP
&SYSTEM
  ibrav = 0, nat = 3, ntyp = 2
/
ATOMIC_SPECIES
Ag 107.87 Ag.upf
Mg 24.30 Mg.upf
CELL_PARAMETERS angstrom
4.409 0.000 0.000
2.204 3.818 0.000
2.204 1.273 3.600
ATOMIC_POSITIONS crystal
Ag 0.750 0.750 0.750
Ag 0.250 0.250 0.250
Mg 0.000 0.000 0.000
! - crystal system = cubic
! - excess energy over the best structure of this formula in the dataset (eV/f.u.) = 1.102
! - total magnetization (μB/f.u.) = 0.00
! - formation enthalpy at 0 K (eV/atom) = 0.18


# 3
! HgSb3S | Alexandria via LeMat-Bulk | PBEsol | optimized geometry; values from VASP
&SYSTEM
  ibrav = 0, nat = 5, ntyp = 3
/
ATOMIC_SPECIES
S 32.06 S.upf
Sb 121.76 Sb.upf
Hg 200.59 Hg.upf
CELL_PARAMETERS angstrom
5.419 0.000 0.000
0.000 5.419 0.000
0.000 0.000 5.419
ATOMIC_POSITIONS crystal
S 0.500 0.500 0.500
Sb 0.500 0.000 0.000
Sb 0.000 0.000 0.500
Sb 0.000 0.500 0.000
Hg 0.000 0.000 0.000
! - crystal system = cubic
! - ΔE_f (raw) (meV/atom) = 1089
! - total magnetization (μB/f.u.) = 0.00


> Number 1 is which compound?

TaTe4Ir


> Which value of total magnetization does entry 3 give?

0.00 μB/f.u.


> Which formula does entry 1 have?

TaTe4Ir


> total magnetization of number 3 (HgSb3S)?

0.00 μB/f.u.